# 1
Na2Mg3GaSn4: optimized geometry, PBE-GGA.

Properties
The crystal system is tetragonal. The calculation puts the energy of formation from the pure elements at -133 meV/atom. The calculation puts the magnetic moment at 0.0 Bohr magnetons per cell. Its calculated density is 4.02 g/cm3.

```
data_Na2Mg3GaSn4
_chemical_formula_sum 'Na2 Mg3 Ga1 Sn4'
_cell_length_a 4.622
_cell_length_b 4.622
_cell_length_c 12.841
_cell_angle_alpha 90.00
_cell_angle_beta 90.00
_cell_angle_gamma 90.00
_symmetry_space_group_name_H-M 'P -4 m 2'
_symmetry_Int_Tables_number 115
_symmetry_space_group_name_Hall 'P -4 -2'
loop_
_atom_site_label
_atom_site_type_symbol
_atom_site_fract_x
_atom_site_fract_y
_atom_site_fract_z
Na1 Na 0.000 0.500 0.232
Mg1 Mg 0.000 0.000 0.000
Mg2 Mg 0.000 0.500 0.646
Ga1 Ga 0.500 0.500 0.000
Sn1 Sn 0.000 0.000 0.500
Sn2 Sn 0.000 0.500 0.865
Sn3 Sn 0.500 0.500 0.500
```

# 2
NaMg2Ga2Sn2: optimized geometry, PBE-GGA.

Properties
The crystal system is trigonal. The calculation puts the energy of formation from the pure elements at -92 meV/atom. The calculation puts the magnetic moment at 0.0 Bohr magnetons per cell. Its calculated density is 4.28 g/cm3.

```
data_NaMg2Ga2Sn2
_chemical_formula_sum 'Na3 Mg6 Ga6 Sn6'
_cell_length_a 4.9117
_cell_length_b 4.9117
_cell_length_c 24.9563
_cell_angle_alpha 90.00
_cell_angle_beta 90.00
_cell_angle_gamma 120.00
_symmetry_space_group_name_H-M 'R -3 m'
_symmetry_Int_Tables_number 166
_symmetry_space_group_name_Hall '-R 3 2"'
loop_
_atom_site_label
_atom_site_type_symbol
_atom_site_fract_x
_atom_site_fract_y
_atom_site_fract_z
Na1 Na 0.0000 0.0000 0.0000
Mg1 Mg 0.0000 0.0000 0.1364
Ga1 Ga 0.0000 0.0000 0.4443
Sn1 Sn 0.0000 0.0000 0.2566
```

# 3
NaSrMgGa: optimized geometry, PBE-GGA.

Properties
The crystal system is cubic. The calculation puts the energy of formation from the pure elements at -132 meV/atom. The calculation puts the magnetic moment at 0.0 Bohr magnetons per cell. Its calculated density is 3.22 g/cm3.

```
data_NaSrMgGa
_chemical_formula_sum 'Na4 Sr4 Mg4 Ga4'
_cell_length_a 7.503
_cell_length_b 7.503
_cell_length_c 7.503
_cell_angle_alpha 90.00
_cell_angle_beta 90.00
_cell_angle_gamma 90.00
_symmetry_space_group_name_H-M 'F -4 3 m'
_symmetry_Int_Tables_number 216
_symmetry_space_group_name_Hall 'F -4 2 3'
loop_
_atom_site_label
_atom_site_type_symbol
_atom_site_fract_x
_atom_site_fract_y
_atom_site_fract_z
Na1 Na 0.000 0.000 0.000
Sr1 Sr 0.250 0.250 0.750
Mg1 Mg 0.250 0.250 0.250
Ga1 Ga 0.000 0.000 0.500
```

# 4
NaTbMgGa: optimized geometry, PBE-GGA.

Properties
The crystal system is cubic. The calculation puts the energy of formation from the pure elements at -117 meV/atom. The calculation puts the magnetic moment at 0.0 Bohr magnetons per cell. Its calculated density is 5.04 g/cm3.

```
data_NaTbMgGa
_chemical_formula_sum 'Na4 Tb4 Mg4 Ga4'
_cell_length_a 7.140
_cell_length_b 7.140
_cell_length_c 7.140
_cell_angle_alpha 90.00
_cell_angle_beta 90.00
_cell_angle_gamma 90.00
_symmetry_space_group_name_H-M 'F -4 3 m'
_symmetry_Int_Tables_number 216
_symmetry_space_group_name_Hall 'F -4 2 3'
loop_
_atom_site_label
_atom_site_type_symbol
_atom_site_fract_x
_atom_site_fract_y
_atom_site_fract_z
Na1 Na 0.000 0.000 0.000
Tb1 Tb 0.250 0.250 0.250
Mg1 Mg 0.250 0.250 0.750
Ga1 Ga 0.000 0.000 0.500
```

# 5
NaMgGa2Tc: optimized geometry, PBE-GGA.

Properties
The crystal system is tetragonal. The calculation puts the energy of formation from the pure elements at 93 meV/atom. The calculation puts the magnetic moment at 0.0 Bohr magnetons per cell. Its calculated density is 3.96 g/cm3.

```
data_NaMgGa2Tc
_chemical_formula_sum 'Na1 Mg1 Ga2 Tc1'
_cell_length_a 4.858
_cell_length_b 4.858
_cell_length_c 5.065
_cell_angle_alpha 90.00
_cell_angle_beta 90.00
_cell_angle_gamma 90.00
_symmetry_space_group_name_H-M 'P 4/m m m'
_symmetry_Int_Tables_number 123
_symmetry_space_group_name_Hall '-P 4 2'
loop_
_atom_site_label
_atom_site_type_symbol
_atom_site_fract_x
_atom_site_fract_y
_atom_site_fract_z
Na1 Na 0.000 0.000 0.000
Mg1 Mg 0.500 0.500 0.000
Ga1 Ga 0.000 0.500 0.500
Tc1 Tc 0.500 0.500 0.500
```

# 6
NaMgGaTe3: optimized geometry, PBE-GGA.

Properties
The crystal system is monoclinic. The calculation puts the magnetic moment at 0.0 Bohr magnetons per cell. Its calculated density is 4.07 g/cm3. The energy relative to the elements, uncorrected is -0.6280 eV/atom.

```
data_NaMgGaTe3
_chemical_formula_sum 'Na2 Mg2 Ga2 Te6'
_cell_length_a 8.798
_cell_length_b 4.210
_cell_length_c 11.481
_cell_angle_alpha 90.00
_cell_angle_beta 106.45
_cell_angle_gamma 90.00
_symmetry_space_group_name_H-M 'P 1 21/m 1'
_symmetry_Int_Tables_number 11
_symmetry_space_group_name_Hall '-P 2yb'
loop_
_atom_site_label
_atom_site_type_symbol
_atom_site_fract_x
_atom_site_fract_y
_atom_site_fract_z
Na1 Na 0.197 0.250 0.165
Mg1 Mg 0.356 0.750 0.904
Ga1 Ga 0.082 0.250 0.623
Te1 Te 0.091 0.250 0.850
Te2 Te 0.215 0.750 0.538
Te3 Te 0.458 0.750 0.162
```

# 7
NaMg2GaTe4: optimized geometry, PBE-GGA.

Properties
The crystal system is orthorhombic. The calculation puts the magnetic moment at 0.0 Bohr magnetons per cell. Its calculated density is 3.86 g/cm3. The energy relative to the elements, uncorrected is -0.7208 eV/atom.

```
data_NaMg2GaTe4
_chemical_formula_sum 'Na2 Mg4 Ga2 Te8'
_cell_length_a 9.576
_cell_length_b 7.800
_cell_length_c 7.507
_cell_angle_alpha 90.00
_cell_angle_beta 90.00
_cell_angle_gamma 90.00
_symmetry_space_group_name_H-M 'P m n 21'
_symmetry_Int_Tables_number 31
_symmetry_space_group_name_Hall 'P 2ac -2'
loop_
_atom_site_label
_atom_site_type_symbol
_atom_site_fract_x
_atom_site_fract_y
_atom_site_fract_z
Na1 Na 0.000 0.156 0.000
Mg1 Mg 0.246 0.330 0.507
Ga1 Ga 0.000 0.817 0.507
Te1 Te 0.000 0.147 0.411
Te2 Te 0.000 0.787 0.860
Te3 Te 0.228 0.669 0.382
```

# 8
NaMgGa2Te: optimized geometry, PBE-GGA.

Properties
The crystal system is tetragonal. The calculation puts the magnetic moment at 0.0 Bohr magnetons per cell. Its calculated density is 3.35 g/cm3. The energy relative to the elements, uncorrected is 0.4036 eV/atom.

```
data_NaMgGa2Te
_chemical_formula_sum 'Na1 Mg1 Ga2 Te1'
_cell_length_a 5.326
_cell_length_b 5.326
_cell_length_c 5.502
_cell_angle_alpha 90.00
_cell_angle_beta 90.00
_cell_angle_gamma 90.00
_symmetry_space_group_name_H-M 'P 4/m m m'
_symmetry_Int_Tables_number 123
_symmetry_space_group_name_Hall '-P 4 2'
loop_
_atom_site_label
_atom_site_type_symbol
_atom_site_fract_x
_atom_site_fract_y
_atom_site_fract_z
Na1 Na 0.000 0.000 0.000
Mg1 Mg 0.500 0.500 0.500
Ga1 Ga 0.000 0.500 0.000
Te1 Te 0.000 0.000 0.500
```

# 9
NaMgZnGa: optimized geometry, PBE-GGA.

Properties
The crystal system is cubic. The calculation puts the energy of formation from the pure elements at 8 meV/atom. The calculation puts the magnetic moment at 0.0 Bohr magnetons per cell. Its calculated density is 3.73 g/cm3.

```
data_NaMgZnGa
_chemical_formula_sum 'Na4 Mg4 Zn4 Ga4'
_cell_length_a 6.874
_cell_length_b 6.874
_cell_length_c 6.874
_cell_angle_alpha 90.00
_cell_angle_beta 90.00
_cell_angle_gamma 90.00
_symmetry_space_group_name_H-M 'F -4 3 m'
_symmetry_Int_Tables_number 216
_symmetry_space_group_name_Hall 'F -4 2 3'
loop_
_atom_site_label
_atom_site_type_symbol
_atom_site_fract_x
_atom_site_fract_y
_atom_site_fract_z
Na1 Na 0.000 0.000 0.000
Mg1 Mg 0.000 0.000 0.500
Zn1 Zn 0.250 0.250 0.750
Ga1 Ga 0.250 0.250 0.250
```

# 10
MgNbGa2: optimized geometry, PBE-GGA.

Properties
The crystal system is tetragonal. The calculation puts the energy of formation from the pure elements at 180 meV/atom. The calculation puts the magnetic moment at 0.0 Bohr magnetons per cell. Its calculated density is 5.72 g/cm3.

```
data_MgNbGa2
_chemical_formula_sum 'Mg4 Nb4 Ga8'
_cell_length_a 7.182
_cell_length_b 7.182
_cell_length_c 5.777
_cell_angle_alpha 90.00
_cell_angle_beta 90.00
_cell_angle_gamma 90.00
_symmetry_space_group_name_H-M 'I -4 2 d'
_symmetry_Int_Tables_number 122
_symmetry_space_group_name_Hall 'I -4 2bw'
loop_
_atom_site_label
_atom_site_type_symbol
_atom_site_fract_x
_atom_site_fract_y
_atom_site_fract_z
Mg1 Mg 0.000 0.000 0.000
Nb1 Nb 0.000 0.000 0.500
Ga1 Ga 0.245 0.250 0.125
```

# 11
MgNbGa2: optimized geometry, PBE-GGA.

Properties
The crystal system is trigonal. The calculation puts the energy of formation from the pure elements at -133 meV/atom. The calculation puts the magnetic moment at 0.0 Bohr magnetons per cell. Its calculated density is 5.89 g/cm3.

```
data_MgNbGa2
_chemical_formula_sum 'Mg3 Nb3 Ga6'
_cell_length_a 3.0289
_cell_length_b 3.0289
_cell_length_c 27.3403
_cell_angle_alpha 90.00
_cell_angle_beta 90.00
_cell_angle_gamma 120.00
_symmetry_space_group_name_H-M 'R -3 m'
_symmetry_Int_Tables_number 166
_symmetry_space_group_name_Hall '-R 3 2"'
loop_
_atom_site_label
_atom_site_type_symbol
_atom_site_fract_x
_atom_site_fract_y
_atom_site_fract_z
Mg1 Mg 0.0000 0.0000 0.0000
Nb1 Nb 0.0000 0.0000 0.5000
Ga1 Ga 0.0000 0.0000 0.2486
```

# 12
Mg2NbGa: optimized geometry, PBE-GGA.

Properties
The crystal system is tetragonal. The calculation puts the energy of formation from the pure elements at 362 meV/atom. The calculation puts the magnetic moment at 0.0 Bohr magnetons per cell. Its calculated density is 4.42 g/cm3.

```
data_Mg2NbGa
_chemical_formula_sum 'Mg8 Nb4 Ga4'
_cell_length_a 7.599
_cell_length_b 7.599
_cell_length_c 5.499
_cell_angle_alpha 90.00
_cell_angle_beta 90.00
_cell_angle_gamma 90.00
_symmetry_space_group_name_H-M 'I -4 2 d'
_symmetry_Int_Tables_number 122
_symmetry_space_group_name_Hall 'I -4 2bw'
loop_
_atom_site_label
_atom_site_type_symbol
_atom_site_fract_x
_atom_site_fract_y
_atom_site_fract_z
Mg1 Mg 0.222 0.250 0.125
Nb1 Nb 0.000 0.000 0.500
Ga1 Ga 0.000 0.000 0.000
```